Entry 1:
TbHo3Rh: relaxed, PBE.

* total magnetic moment: 0.00 μB/f.u.
* ΔE_f: -1.50 eV/f.u.
* volume: 299 Å³ per cell

a b c (Å): 7.528 6.483 6.121
angles (deg): 90.00 90.00 90.00
Space group Pmn2_1 (No. 31)
Symmetry-distinct sites (fractional):
1 Tb 0.000 0.149 0.000 [2 per cell]
2 Ho 0.000 0.848 0.485 [2 per cell]
3 Ho 0.249 0.314 0.493 [4 per cell]
4 Rh 0.000 0.502 0.744 [2 per cell]


Entry 2:
Nb2HIrOs: relaxed, PBE.

* total magnetic moment: 0.00 μB/f.u.
* volume: 67 Å³ per cell
* final energy: -8.9599 eV per atom

a b c (Å): 4.148 4.148 3.878
angles (deg): 90.00 90.00 90.00
Space group P4/mmm (No. 123)
Symmetry-distinct sites (fractional):
1 Nb 0.000 0.500 0.000 [2 per cell]
2 H 0.000 0.000 0.000 [1 per cell]
3 Ir 0.500 0.500 0.500 [1 per cell]
4 Os 0.000 0.000 0.500 [1 per cell]


Entry 3:
PaTlGa2Br8: relaxed, PBE.

* total magnetic moment: 0.00 μB/f.u.
* volume: 500 Å³ per cell
* final energy: -3.6480 eV per atom

a b c (Å): 7.083 7.477 9.440
angles (deg): 89.87 89.87 89.50
Space group P-1 (No. 2)
Symmetry-distinct sites (fractional):
1 Pa 0.000 0.000 0.000 [1 per cell]
2 Tl 0.000 0.000 0.500 [1 per cell]
3 Ga 0.500 0.500 0.285 [2 per cell]
4 Br 0.213 0.699 0.000 [2 per cell]
5 Br 0.227 0.141 0.206 [2 per cell]
6 Br 0.227 0.141 0.793 [2 per cell]
7 Br 0.281 0.649 0.500 [2 per cell]


Entry 4:
CsNb3Rh: relaxed, PBE.

* total magnetic moment: 1.03 μB/f.u.
* ΔE_f: 6.91 eV/f.u.
* volume: 127 Å³ per cell

a b c (Å): 5.029 5.029 5.029
angles (deg): 90.00 90.00 90.00
Space group Pm-3m (No. 221)
Symmetry-distinct sites (fractional):
1 Cs 0.000 0.000 0.000 [1 per cell]
2 Nb 0.000 0.500 0.500 [3 per cell]
3 Rh 0.500 0.500 0.500 [1 per cell]


Please write out number 4 again, unchanged.
CsNb3Rh: relaxed, PBE.

* total magnetic moment: 1.03 μB/f.u.
* ΔE_f: 6.91 eV/f.u.
* volume: 127 Å³ per cell

a b c (Å): 5.029 5.029 5.029
angles (deg): 90.00 90.00 90.00
Space group Pm-3m (No. 221)
Symmetry-distinct sites (fractional):
1 Cs 0.000 0.000 0.000 [1 per cell]
2 Nb 0.000 0.500 0.500 [3 per cell]
3 Rh 0.500 0.500 0.500 [1 per cell]


> total magnetic moment of number 2 (Nb2HIrOs)?

0.00 μB/f.u.


> What is the volume in the second record?

67 Å³ per cell